# TlTcO4

Crystalline TlTcO4 at its relaxed geometry (PBE, the Alexandria database).

Calculated values
Spin magnetization in μB/cell: 0.00
Electronic total energy in eV for the cell shown: -162.34
Uncorrected formation energy in kJ/mol of atoms: -129.0
D(E_F) in states/eV/cell: 0.00

Cell: 9.2828 6.4021 8.0256 Å, 90.00 90.00 90.00°
Fractional coordinates of all 24 atoms:
Tl  0.1827  0.2500  0.1721
Tl  0.3173  0.7500  0.6721
Tl  0.6827  0.2500  0.3279
Tl  0.8173  0.7500  0.8279
Tc  0.0598  0.2500  0.6821
Tc  0.4402  0.7500  0.1821
Tc  0.5598  0.2500  0.8179
Tc  0.9402  0.7500  0.3179
O  0.0758  0.0256  0.8049
O  0.0758  0.4744  0.8049
O  0.1082  0.7500  0.4144
O  0.1949  0.2500  0.5317
O  0.3051  0.7500  0.0317
O  0.3918  0.2500  0.9144
O  0.4242  0.5256  0.3049
O  0.4242  0.9744  0.3049
O  0.5758  0.0256  0.6951
O  0.5758  0.4744  0.6951
O  0.6082  0.7500  0.0856
O  0.6949  0.2500  0.9683
O  0.8051  0.7500  0.4683
O  0.8918  0.2500  0.5856
O  0.9242  0.5256  0.1951
O  0.9242  0.9744  0.1951